InW2I | PBE-GGA | relaxed

a b c (Å): 4.310 4.310 19.348
angles (deg): 90.00 90.00 90.00
Space group I-42d (No. 122)
Asymmetric unit:
In: 0.000 0.000 0.000 [4 per cell]
W: 0.180 0.250 0.625 [8 per cell]
I: 0.000 0.000 0.500 [4 per cell]

Results
Total DFT energy (no corrections)   -0.2247 hartree per atom
Volume   22.5 Å³/atom
Energy relative to the elements, uncorrected   5.74 eV per formula unit
DOS at the Fermi energy   0.55 states/eV per atom
Energy relative to the lowest polymorph listed for this composition   110 meV per atom

***

NdTlGe | PBE-GGA | relaxed

a b c (Å): 4.4777 4.4777 4.7172
angles (deg): 90.00 90.00 120.00
Space group P3m1 (No. 156)
Asymmetric unit:
Nd: 0.0000 0.0000 0.0000 [1 per cell]
Tl: 0.3333 0.6667 0.5766 [1 per cell]
Ge: 0.6667 0.3333 0.3206 [1 per cell]

Results
Total DFT energy (no corrections)   -0.1599 hartree per atom
ΔE_f   -0.433 eV per atom
Volume   27.3 Å³/atom
DOS at the Fermi energy   0.12 states/eV per atom
Energy relative to the lowest polymorph listed for this composition   0 meV per atom

***

BaAgS2N | PBE-GGA | relaxed

a b c (Å): 5.945 5.945 5.239
angles (deg): 90.00 90.00 90.00
Space group P4/mmm (No. 123)
Asymmetric unit:
Ba: 0.000 0.000 0.000 [1 per cell]
Ag: 0.500 0.500 0.500 [1 per cell]
S: 0.000 0.500 0.000 [2 per cell]
N: 0.000 0.000 0.500 [1 per cell]

Results
Total DFT energy (no corrections)   -0.1187 hartree per atom
Volume   37.0 Å³/atom
Energy relative to the elements, uncorrected   5.20 eV per formula unit
DOS at the Fermi energy   1.21 states/eV per atom
Energy relative to the lowest polymorph listed for this composition   987 meV per atom

***

LiPu3Cl2F6 | PBE-GGA | relaxed

a b c (Å): 12.656 6.950 5.760
angles (deg): 90.00 100.69 90.00
Space group C2/m (No. 12)
Asymmetric unit:
Li: 0.000 0.000 0.000 [2 per cell]
Pu: 0.000 0.500 0.500 [2 per cell]
Pu: 0.250 0.250 0.000 [4 per cell]
Cl: 0.201 0.500 0.361 [4 per cell]
F: 0.072 0.269 0.780 [8 per cell]
F: 0.145 0.000 0.137 [4 per cell]

Results
Total DFT energy (no corrections)   -0.2875 hartree per atom
Volume   20.7 Å³/atom
Energy relative to the elements, uncorrected   -34.06 eV per formula unit
DOS at the Fermi energy   2.05 states/eV per atom